{
  "formula": "GaCuPtO4",
  "functional": "PBE",
  "state": "relaxed",
  "dft_energy_ev_per_fu": -39.64,
  "space_group": "Imma (74)",
  "cell": [[-2.990, 3.120, 4.308], [2.990, -3.120, 4.308], [2.990, 3.120, -4.308]],
  "species": ["Ga", "Ga", "Cu", "Cu", "Pt", "Pt", "O", "O", "O", "O", "O", "O", "O", "O"],
  "fractional_positions": [[0.500, 0.000, 0.000], [0.500, 0.500, 0.500], [0.114, 0.364, 0.750], [0.886, 0.636, 0.250], [0.000, 0.000, 0.000], [0.500, 0.000, 0.500], [0.263, 0.241, 0.479], [0.263, 0.784, 0.021], [0.272, 0.239, 0.032], [0.293, 0.761, 0.532], [0.707, 0.239, 0.468], [0.728, 0.761, 0.968], [0.737, 0.216, 0.979], [0.737, 0.759, 0.521]]
}

---

{
  "formula": "PuGaCu2O8",
  "functional": "PBE",
  "state": "relaxed",
  "dft_energy_ev_per_fu": -78.12,
  "space_group": "I-4m2 (119)",
  "cell": [[-3.176, 3.176, 3.504], [3.176, -3.176, 3.504], [3.176, 3.176, -3.504]],
  "species": ["Pu", "Ga", "Cu", "Cu", "O", "O", "O", "O", "O", "O", "O", "O"],
  "fractional_positions": [[0.000, 0.000, 0.000], [0.250, 0.750, 0.500], [0.500, 0.500, 0.000], [0.750, 0.250, 0.500], [0.298, 0.103, 0.805], [0.298, 0.493, 0.195], [0.348, 0.048, 0.300], [0.507, 0.702, 0.805], [0.748, 0.048, 0.700], [0.897, 0.702, 0.195], [0.952, 0.252, 0.300], [0.952, 0.652, 0.700]]
}

---

{
  "formula": "PuGaCuO6",
  "functional": "PBE",
  "state": "relaxed",
  "dft_energy_ev_per_fu": -65.42,
  "space_group": "P-31c (163)",
  "cell": [[5.189, 0.000, 0.000], [-2.594, 4.494, 0.000], [0.000, 0.000, 8.965]],
  "species": ["Pu", "Pu", "Ga", "Ga", "Cu", "Cu", "O", "O", "O", "O", "O", "O", "O", "O", "O", "O", "O", "O"],
  "fractional_positions": [[0.333, 0.667, 0.250], [0.667, 0.333, 0.750], [0.333, 0.667, 0.750], [0.667, 0.333, 0.250], [0.000, 0.000, 0.000], [0.000, 0.000, 0.500], [0.003, 0.342, 0.629], [0.003, 0.660, 0.871], [0.340, 0.342, 0.871], [0.340, 0.997, 0.629], [0.342, 0.003, 0.129], [0.342, 0.340, 0.371], [0.658, 0.660, 0.629], [0.658, 0.997, 0.871], [0.660, 0.003, 0.371], [0.660, 0.658, 0.129], [0.997, 0.340, 0.129], [0.997, 0.658, 0.371]]
}

---

{
  "formula": "PuGa2CuO8",
  "functional": "PBE",
  "state": "relaxed",
  "dft_energy_ev_per_fu": -80.21,
  "space_group": "I-4m2 (119)",
  "cell": [[-3.247, 3.247, 3.422], [3.247, -3.247, 3.422], [3.247, 3.247, -3.422]],
  "species": ["Pu", "Ga", "Ga", "Cu", "O", "O", "O", "O", "O", "O", "O", "O"],
  "fractional_positions": [[0.000, 0.000, 0.000], [0.250, 0.750, 0.500], [0.500, 0.500, 0.000], [0.750, 0.250, 0.500], [0.063, 0.363, 0.299], [0.063, 0.764, 0.701], [0.099, 0.295, 0.804], [0.236, 0.937, 0.299], [0.492, 0.295, 0.196], [0.637, 0.937, 0.701], [0.705, 0.508, 0.804], [0.705, 0.901, 0.196]]
}

---

{
  "formula": "GaCu2ReO",
  "functional": "PBE",
  "state": "relaxed",
  "dft_energy_ev_per_fu": -20.48,
  "space_group": "P4/mmm (123)",
  "cell": [[4.614, 0.000, 0.000], [0.000, 4.614, 0.000], [0.000, 0.000, 4.912]],
  "species": ["Ga", "Cu", "Cu", "Re", "O"],
  "fractional_positions": [[0.000, 0.000, 0.000], [0.000, 0.500, 0.500], [0.500, 0.000, 0.500], [0.000, 0.000, 0.500], [0.500, 0.500, 0.000]]
}

---

{
  "formula": "GaCuRh2O6",
  "functional": "PBE",
  "state": "relaxed",
  "dft_energy_ev_per_fu": -55.13,
  "space_group": "P4mm (99)",
  "cell": [[5.023, 0.000, 0.000], [0.000, 5.023, 0.000], [0.000, 0.000, 4.984]],
  "species": ["Ga", "Cu", "Rh", "Rh", "O", "O", "O", "O", "O", "O"],
  "fractional_positions": [[0.000, 0.000, 0.000], [0.500, 0.500, 0.952], [0.000, 0.500, 0.376], [0.500, 0.000, 0.376], [0.000, 0.000, 0.639], [0.250, 0.250, 0.184], [0.250, 0.750, 0.184], [0.500, 0.500, 0.598], [0.750, 0.250, 0.184], [0.750, 0.750, 0.184]]
}

---

{
  "formula": "GaCuRuO6",
  "functional": "PBE",
  "state": "relaxed",
  "dft_energy_ev_per_fu": -53.56,
  "space_group": "P-31c (163)",
  "cell": [[5.034, 0.000, 0.000], [-2.517, 4.360, 0.000], [0.000, 0.000, 8.633]],
  "species": ["Ga", "Ga", "Cu", "Cu", "Ru", "Ru", "O", "O", "O", "O", "O", "O", "O", "O", "O", "O", "O", "O"],
  "fractional_positions": [[0.333, 0.667, 0.250], [0.667, 0.333, 0.750], [0.000, 0.000, 0.000], [0.000, 0.000, 0.500], [0.333, 0.667, 0.750], [0.667, 0.333, 0.250], [0.009, 0.355, 0.627], [0.009, 0.654, 0.873], [0.346, 0.355, 0.873], [0.346, 0.991, 0.627], [0.355, 0.009, 0.127], [0.355, 0.346, 0.373], [0.645, 0.654, 0.627], [0.645, 0.991, 0.873], [0.654, 0.009, 0.373], [0.654, 0.645, 0.127], [0.991, 0.346, 0.127], [0.991, 0.645, 0.373]]
}

---

{
  "formula": "Ga2CuS2O2",
  "functional": "PBE",
  "state": "relaxed",
  "dft_energy_ev_per_fu": -27.26,
  "space_group": "I4/mmm (139)",
  "cell": [[4.113, 0.000, 0.000], [0.000, 4.113, 0.000], [0.000, 0.000, 15.089]],
  "species": ["Ga", "Ga", "Ga", "Ga", "Cu", "Cu", "S", "S", "S", "S", "O", "O", "O", "O"],
  "fractional_positions": [[0.000, 0.500, 0.250], [0.000, 0.500, 0.750], [0.500, 0.000, 0.250], [0.500, 0.000, 0.750], [0.000, 0.000, 0.000], [0.500, 0.500, 0.500], [0.000, 0.000, 0.165], [0.000, 0.000, 0.835], [0.500, 0.500, 0.335], [0.500, 0.500, 0.665], [0.000, 0.500, 0.000], [0.000, 0.500, 0.500], [0.500, 0.000, 0.000], [0.500, 0.000, 0.500]]
}

---

{
  "formula": "Ga2CuSbO8",
  "functional": "PBE",
  "state": "relaxed",
  "dft_energy_ev_per_fu": -63.67,
  "space_group": "I-4m2 (119)",
  "cell": [[-3.178, 3.178, 3.424], [3.178, -3.178, 3.424], [3.178, 3.178, -3.424]],
  "species": ["Ga", "Ga", "Cu", "Sb", "O", "O", "O", "O", "O", "O", "O", "O"],
  "fractional_positions": [[0.000, 0.000, 0.000], [0.750, 0.250, 0.500], [0.250, 0.750, 0.500], [0.500, 0.500, 0.000], [0.139, 0.440, 0.699], [0.211, 0.019, 0.808], [0.211, 0.402, 0.192], [0.560, 0.259, 0.699], [0.560, 0.861, 0.301], [0.598, 0.789, 0.808], [0.741, 0.440, 0.301], [0.981, 0.789, 0.192]]
}

---

{
  "formula": "Sc4GaCuO",
  "functional": "PBE",
  "state": "relaxed",
  "dft_energy_ev_per_fu": -44.93,
  "space_group": "Cmcm (63)",
  "cell": [[3.056, -6.764, 0.000], [3.056, 6.764, 0.000], [0.000, 0.000, 6.111]],
  "species": ["Sc", "Sc", "Sc", "Sc", "Sc", "Sc", "Sc", "Sc", "Ga", "Ga", "Cu", "Cu", "O", "O"],
  "fractional_positions": [[0.000, 0.500, 0.000], [0.000, 0.500, 0.500], [0.066, 0.934, 0.750], [0.422, 0.578, 0.750], [0.500, 0.000, 0.000], [0.500, 0.000, 0.500], [0.578, 0.422, 0.250], [0.934, 0.066, 0.250], [0.380, 0.620, 0.250], [0.620, 0.380, 0.750], [0.123, 0.877, 0.250], [0.877, 0.123, 0.750], [0.251, 0.749, 0.750], [0.749, 0.251, 0.250]]
}

---

{
  "formula": "GaCuSeO5",
  "functional": "PBE",
  "state": "relaxed",
  "dft_energy_ev_per_fu": -42.47,
  "space_group": "C2/c (15)",
  "cell": [[3.823, -4.014, 0.000], [3.823, 4.014, 0.000], [-3.566, 0.000, 6.483]],
  "species": ["Ga", "Ga", "Cu", "Cu", "Se", "Se", "O", "O", "O", "O", "O", "O", "O", "O", "O", "O"],
  "fractional_positions": [[0.000, 0.000, 0.000], [0.000, 0.000, 0.500], [0.282, 0.718, 0.750], [0.718, 0.282, 0.250], [0.347, 0.653, 0.250], [0.653, 0.347, 0.750], [0.051, 0.949, 0.750], [0.248, 0.744, 0.490], [0.256, 0.752, 0.010], [0.315, 0.319, 0.155], [0.319, 0.315, 0.655], [0.681, 0.685, 0.345], [0.685, 0.681, 0.845], [0.744, 0.248, 0.990], [0.752, 0.256, 0.510], [0.949, 0.051, 0.250]]
}

---

{
  "formula": "Ga2CuSe3O10",
  "functional": "PBE",
  "state": "relaxed",
  "dft_energy_ev_per_fu": -87.18,
  "space_group": "Pmna (53)",
  "cell": [[6.809, 0.000, 0.000], [0.000, 10.000, 0.000], [0.000, 0.000, 13.300]],
  "species": ["Ga", "Ga", "Ga", "Ga", "Ga", "Ga", "Ga", "Ga", "Cu", "Cu", "Cu", "Cu", "Se", "Se", "Se", "Se", "Se", "Se", "Se", "Se", "Se", "Se", "Se", "Se", "O", "O", "O", "O", "O", "O", "O", "O", "O", "O", "O", "O", "O", "O", "O", "O", "O", "O", "O", "O", "O", "O", "O", "O", "O", "O", "O", "O", "O", "O", "O", "O", "O", "O", "O", "O", "O", "O", "O", "O"],
  "fractional_positions": [[0.000, 0.015, 0.122], [0.000, 0.985, 0.878], [0.250, 0.216, 0.250], [0.250, 0.784, 0.750], [0.500, 0.015, 0.378], [0.500, 0.985, 0.622], [0.750, 0.216, 0.250], [0.750, 0.784, 0.750], [0.250, 0.353, 0.750], [0.250, 0.647, 0.250], [0.750, 0.353, 0.750], [0.750, 0.647, 0.250], [0.000, 0.064, 0.639], [0.000, 0.302, 0.966], [0.000, 0.443, 0.382], [0.000, 0.557, 0.618], [0.000, 0.698, 0.034], [0.000, 0.936, 0.361], [0.500, 0.064, 0.861], [0.500, 0.302, 0.534], [0.500, 0.443, 0.118], [0.500, 0.557, 0.882], [0.500, 0.698, 0.466], [0.500, 0.936, 0.139], [0.000, 0.116, 0.764], [0.000, 0.121, 0.982], [0.000, 0.175, 0.199], [0.000, 0.445, 0.723], [0.000, 0.555, 0.277], [0.000, 0.825, 0.801], [0.000, 0.879, 0.018], [0.000, 0.884, 0.236], [0.196, 0.048, 0.365], [0.196, 0.952, 0.635], [0.201, 0.346, 0.356], [0.201, 0.654, 0.644], [0.205, 0.325, 0.893], [0.205, 0.675, 0.107], [0.295, 0.325, 0.607], [0.295, 0.675, 0.393], [0.299, 0.346, 0.144], [0.299, 0.654, 0.856], [0.304, 0.048, 0.135], [0.304, 0.952, 0.865], [0.500, 0.116, 0.736], [0.500, 0.121, 0.518], [0.500, 0.175, 0.301], [0.500, 0.445, 0.777], [0.500, 0.555, 0.223], [0.500, 0.825, 0.699], [0.500, 0.879, 0.482], [0.500, 0.884, 0.264], [0.696, 0.048, 0.135], [0.696, 0.952, 0.865], [0.701, 0.346, 0.144], [0.701, 0.654, 0.856], [0.705, 0.325, 0.607], [0.705, 0.675, 0.393], [0.795, 0.325, 0.893], [0.795, 0.675, 0.107], [0.799, 0.346, 0.356], [0.799, 0.654, 0.644], [0.804, 0.048, 0.365], [0.804, 0.952, 0.635]]
}